The following is a DFT calculation (PBE-GGA) of a relaxed Cu12Pd6Au crystal.

The calculation puts the total energy at -0.1559 hartree per atom. For the excess energy over the best structure of this formula in the dataset, the calculation gives 255.5 kJ/mol of formula units.

The structure belongs to space group R-3m (No. 166, hexagonal axes); the cell edges are 11.1966, 11.1966 and 7.8967 Å and the angles 90.00°, 90.00° and 120.00°. The distinct sites, in fractional coordinates, are Cu at (0.0000, 0.3902, 0.0000), Cu at (0.0786, 0.1573, 0.7622), Pd at (0.0682, 0.5341, 0.7280) and Au at (0.0000, 0.0000, 0.5000).

=====

The following is a DFT calculation (PBE-GGA) of a relaxed Cu5PdAu8 crystal.

The calculation puts the total energy at -0.1332 hartree per atom.

The structure belongs to space group I-4 (No. 82); the cell edges are 7.763, 7.763 and 7.778 Å and the angles 90.00°, 90.00° and 90.00°. The distinct sites, in fractional coordinates, are Cu at (0.000, 0.000, 0.000), Cu at (0.127, 0.226, 0.601), Pd at (0.000, 0.500, 0.250), Au at (0.070, 0.330, 0.929) and Au at (0.094, 0.164, 0.274).

=====

The following is a DFT calculation (PBE-GGA) of a relaxed CuPd4Au7 crystal.

The calculation puts the total energy at -0.1420 hartree per atom.

The structure belongs to space group C2/m (No. 12); the cell edges are 10.222, 4.916 and 10.099 Å and the angles 90.00°, 119.99° and 90.00°. The distinct sites, in fractional coordinates, are Cu at (0.000, 0.000, 0.000), Pd at (0.082, 0.500, 0.772), Pd at (0.227, 0.500, 0.308), Au at (0.000, 0.500, 0.000), Au at (0.040, 0.000, 0.377), Au at (0.156, 0.500, 0.543) and Au at (0.197, 0.000, 0.921).

=====

The following is a DFT calculation (PBE-GGA) of a relaxed CuPd2Au2 crystal.

The calculation puts the total energy at -0.1578 hartree per atom. For the excess energy over the best structure of this formula in the dataset, the calculation gives 0.0 kJ/mol of formula units.

The structure belongs to space group C2/m (No. 12); the cell edges are 8.956, 3.933 and 9.030 Å and the angles 90.00°, 90.42° and 90.00°. The distinct sites, in fractional coordinates, are Cu at (0.248, 0.000, 0.246), Pd at (0.052, 0.500, 0.346), Pd at (0.153, 0.500, 0.051), Au at (0.051, 0.000, 0.849) and Au at (0.151, 0.000, 0.552).

=====

> Look up the total energy of the first one.

-0.1559 hartree per atom